Computed, not measured: Li3H7Ir after structural relaxation at the PBE level of DFT.

```
Li3H7Ir
1.0
4.020 0.164 1.890
-0.764 3.950 1.890
-0.282 -0.356 5.063
Li H Ir
3 7 1
direct
0.790 0.248 0.480
0.499 0.499 0.001
0.248 0.790 0.480
0.144 0.144 0.168
0.629 0.105 0.236
0.945 0.324 0.779
0.105 0.629 0.236
0.643 0.643 0.263
0.324 0.945 0.779
0.840 0.840 0.800
0.957 0.957 0.029
```

Properties
calculated total energy = -3.724 eV per atom